1) {
  "formula": "HgBi2Sb",
  "functional": "PBE",
  "state": "relaxed",
  "magnetic_moment_mub_per_fu": 0.0,
  "spacegroup": "R-3m (166)",
  "volume_a3_per_atom": 31.5,
  "lattice_angstrom": [[2.180, 1.259, 7.644], [-2.180, 1.259, 7.644], [0.000, -2.518, 7.644]],
  "species": ["Hg", "Bi", "Bi", "Sb"],
  "fractional_positions": [[0.000, 0.000, 0.000], [0.250, 0.250, 0.250], [0.750, 0.750, 0.750], [0.500, 0.500, 0.500]]
}



2) {
  "formula": "HgBi2Sb",
  "functional": "PBE",
  "state": "relaxed",
  "magnetic_moment_mub_per_fu": 0.0,
  "spacegroup": "P4/mmm (123)",
  "volume_a3_per_atom": 29.7,
  "lattice_angstrom": [[4.071, 0.000, 0.000], [0.000, 4.071, 0.000], [0.000, 0.000, 7.171]],
  "species": ["Hg", "Bi", "Bi", "Sb"],
  "fractional_positions": [[0.000, 0.000, 0.000], [0.500, 0.500, 0.267], [0.500, 0.500, 0.733], [0.000, 0.000, 0.500]]
}



1) comes first in stability; the runner-up is 49 meV per atom higher.



1) {
  "formula": "HgBi2Sb2",
  "functional": "PBE",
  "state": "relaxed",
  "magnetic_moment_mub_per_fu": 0.0,
  "spacegroup": "I4/mmm (139)",
  "volume_a3_per_atom": 37.6,
  "lattice_angstrom": [[-2.763, 2.763, 6.162], [2.763, -2.763, 6.162], [2.763, 2.763, -6.162]],
  "species": ["Hg", "Bi", "Bi", "Sb", "Sb"],
  "fractional_positions": [[0.000, 0.000, 0.000], [0.365, 0.365, 0.000], [0.635, 0.635, 0.000], [0.250, 0.750, 0.500], [0.750, 0.250, 0.500]]
}



2) {
  "formula": "HgBi2Sb2",
  "functional": "PBE",
  "state": "relaxed",
  "magnetic_moment_mub_per_fu": 0.0,
  "spacegroup": "I4/mmm (139)",
  "volume_a3_per_atom": 37.4,
  "lattice_angstrom": [[-2.753, 2.753, 6.174], [2.753, -2.753, 6.174], [2.753, 2.753, -6.174]],
  "species": ["Hg", "Bi", "Bi", "Sb", "Sb"],
  "fractional_positions": [[0.000, 0.000, 0.000], [0.250, 0.750, 0.500], [0.750, 0.250, 0.500], [0.371, 0.371, 0.000], [0.629, 0.629, 0.000]]
}



1) comes first in stability; the runner-up is 9 meV per atom higher.



1) {
  "formula": "HgBi2Sb2",
  "functional": "PBE",
  "state": "relaxed",
  "magnetic_moment_mub_per_fu": 0.0,
  "spacegroup": "P4/mbm (127)",
  "volume_a3_per_atom": 30.9,
  "lattice_angstrom": [[8.662, 0.000, 0.000], [0.000, 8.662, 0.000], [0.000, 0.000, 4.112]],
  "species": ["Hg", "Hg", "Bi", "Bi", "Bi", "Bi", "Sb", "Sb", "Sb", "Sb"],
  "fractional_positions": [[0.000, 0.000, 0.000], [0.500, 0.500, 0.000], [0.148, 0.352, 0.500], [0.352, 0.852, 0.500], [0.648, 0.148, 0.500], [0.852, 0.648, 0.500], [0.151, 0.651, 0.000], [0.349, 0.151, 0.000], [0.651, 0.849, 0.000], [0.849, 0.349, 0.000]]
}



2) {
  "formula": "HgBi2Sb2",
  "functional": "PBE",
  "state": "relaxed",
  "magnetic_moment_mub_per_fu": 0.0,
  "spacegroup": "P-1 (2)",
  "volume_a3_per_atom": 32.8,
  "lattice_angstrom": [[4.400, 0.000, 0.000], [-0.025, 5.438, 0.000], [-2.074, -1.185, 6.845]],
  "species": ["Hg", "Bi", "Bi", "Sb", "Sb"],
  "fractional_positions": [[0.000, 0.000, 0.000], [0.383, 0.569, 0.775], [0.617, 0.431, 0.225], [0.189, 0.795, 0.376], [0.811, 0.205, 0.624]]
}



2) comes first in stability; the runner-up is 89 meV per atom higher.



1) {
  "formula": "Hg2BiSb2",
  "functional": "PBE",
  "state": "relaxed",
  "magnetic_moment_mub_per_fu": 0.0,
  "spacegroup": "I4/mmm (139)",
  "volume_a3_per_atom": 31.0,
  "lattice_angstrom": [[-2.115, 2.115, 8.655], [2.115, -2.115, 8.655], [2.115, 2.115, -8.655]],
  "species": ["Hg", "Hg", "Bi", "Sb", "Sb"],
  "fractional_positions": [[0.250, 0.750, 0.500], [0.750, 0.250, 0.500], [0.000, 0.000, 0.000], [0.415, 0.415, 0.000], [0.585, 0.585, 0.000]]
}



2) {
  "formula": "Hg2BiSb2",
  "functional": "PBE",
  "state": "relaxed",
  "magnetic_moment_mub_per_fu": 0.0,
  "spacegroup": "I4/mmm (139)",
  "volume_a3_per_atom": 29.8,
  "lattice_angstrom": [[-2.104, 2.104, 8.421], [2.104, -2.104, 8.421], [2.104, 2.104, -8.421]],
  "species": ["Hg", "Hg", "Bi", "Sb", "Sb"],
  "fractional_positions": [[0.093, 0.093, 0.000], [0.907, 0.907, 0.000], [0.500, 0.500, 0.000], [0.250, 0.750, 0.500], [0.750, 0.250, 0.500]]
}



1) comes first in stability; the runner-up is 116 meV per atom higher.